A relaxed Pr6Sn3Ir crystal, computed with PBE-GGA.

The calculation puts the density of states at the Fermi level at 18.77 states/eV/cell. The calculated formation energy comes out at -0.559 eV/atom. The space group is No. 14. Its calculated density is 7.234 g/cm³.

Lattice parameters (Å, degrees): 6.3163 9.0173 12.6951 90.00 117.76 90.00
With the nearest neighbours (Å) after each atom.
Atoms (fractional coordinates):
Pr: 0.0562 0.1586 0.4402  1 Ir 2.91, 1 Sn 3.23
Pr: 0.0562 0.3414 0.9402  1 Ir 2.91, 1 Sn 3.23
Pr: 0.3422 0.6902 0.4391  1 Ir 2.95, 1 Sn 3.13
Pr: 0.3422 0.8098 0.9391  1 Ir 2.95, 1 Sn 3.13
Pr: 0.3908 0.0435 0.2648  1 Ir 2.76
Pr: 0.3908 0.4565 0.7648  1 Ir 2.76
Pr: 0.6092 0.5435 0.2352  1 Ir 2.76
Pr: 0.6092 0.9565 0.7352  1 Ir 2.76
Pr: 0.6578 0.1902 0.0609  1 Ir 2.95, 1 Sn 3.13
Pr: 0.6578 0.3098 0.5609  1 Ir 2.95, 1 Sn 3.13
Pr: 0.9438 0.6586 0.0598  1 Ir 2.91, 1 Sn 3.23
Pr: 0.9438 0.8414 0.5598  1 Ir 2.91, 1 Sn 3.23
Sn: 0.0000 0.0000 0.0000  6 Pr 3.13-3.23
Sn: 0.0000 0.5000 0.5000  6 Pr 3.13-3.23
Sn: 0.1632 0.1173 0.7608  8 Pr 3.32-3.69
Sn: 0.1632 0.3827 0.2608  8 Pr 3.32-3.69
Sn: 0.8368 0.6173 0.7392  8 Pr 3.32-3.69
Sn: 0.8368 0.8827 0.2392  8 Pr 3.32-3.69
Ir: 0.5000 0.0000 0.5000  6 Pr 2.76-2.95
Ir: 0.5000 0.5000 0.0000  6 Pr 2.76-2.95

A relaxed ZnRu2Au crystal, computed with PBE-GGA.

The calculation puts the density of states at the Fermi level at 3.46 states/eV/cell. The calculated formation energy comes out at 0.270 eV/atom. The space group is No. 166. Its calculated density is 12.864 g/cm³.

Lattice parameters (Å, degrees): 9.1569 9.1569 9.1569 17.41 17.41 17.41
With the nearest neighbours (Å) after each atom.
Atoms (fractional coordinates):
Zn: 0.0000 0.0000 0.0000  6 Ru 2.67, 6 Zn 2.77
Ru: 0.2544 0.2544 0.2544  3 Zn 2.67, 6 Ru 2.77, 3 Au 2.86
Ru: 0.7456 0.7456 0.7456  3 Zn 2.67, 6 Ru 2.77, 3 Au 2.86
Au: 0.5000 0.5000 0.5000  6 Au 2.77, 6 Ru 2.86

A relaxed CoHCl3 crystal, computed with PBE-GGA.

The calculation puts the density of states at the Fermi level at 7.47 states/eV/cell. The space group is No. 221. Its calculated density is 2.720 g/cm³. The calculation puts the total energy at -2.94 eV per atom.

Lattice parameters (Å, degrees): 4.6649 4.6649 4.6649 90.00 90.00 90.00
With the nearest neighbours (Å) after each atom.
Atoms (fractional coordinates):
Co: 0.0000 0.0000 0.0000  6 Cl 2.33
H: 0.5000 0.5000 0.5000  12 Cl 3.30
Cl: 0.0000 0.0000 0.5000  2 Co 2.33
Cl: 0.0000 0.5000 0.0000  2 Co 2.33
Cl: 0.5000 0.0000 0.0000  2 Co 2.33

A relaxed PmDyO crystal, computed with PBE-GGA.

The calculation puts the density of states at the Fermi level at 5.75 states/eV/cell. The space group is No. 12. Its calculated density is 6.908 g/cm³. The value obtained for the formation energy without anion corrections is -5.5 eV/f.u.

Lattice parameters (Å, degrees): 7.0173 7.0173 6.7782 116.29 116.29 31.66
With the nearest neighbours (Å) after each atom.
Atoms (fractional coordinates):
Pm: 0.1167 0.1167 0.4455  2 O 2.32
Pm: 0.8833 0.8833 0.5545  2 O 2.32
Dy: 0.3796 0.3796 0.0344  2 O 2.21-2.26
Dy: 0.6204 0.6204 0.9656  2 O 2.21-2.26
O: 0.4326 0.4326 0.7712  2 Dy 2.21-2.26, 2 Pm 2.32
O: 0.5674 0.5674 0.2288  2 Dy 2.21-2.26, 2 Pm 2.32

A relaxed NaLiAuN2 crystal, computed with PBE-GGA.

The calculation puts the density of states at the Fermi level at 2.69 states/eV/cell. The space group is No. 123. Its calculated density is 4.767 g/cm³. The value obtained for the formation energy without anion corrections is 6.7 eV/f.u.

Lattice parameters (Å, degrees): 4.2285 4.2285 4.9663 90.00 90.00 90.00
With the nearest neighbours (Å) after each atom.
Atoms (fractional coordinates):
Na: 0.0000 0.0000 0.0000  2 Au 2.48
Li: 0.5000 0.5000 0.0000  4 Na 2.99, 8 N 3.26
Au: 0.0000 0.0000 0.5000  4 N 2.11
N: 0.0000 0.5000 0.5000  2 Au 2.11
N: 0.5000 0.0000 0.5000  2 Au 2.11

A relaxed BaRh3Pb crystal, computed with PBE-GGA.

The calculation puts the density of states at the Fermi level at 5.28 states/eV/cell. The calculated formation energy comes out at 1.435 eV/atom. The space group is No. 221. Its calculated density is 8.115 g/cm³.

Lattice parameters (Å, degrees): 5.1130 5.1130 5.1130 90.00 90.00 90.00
With the nearest neighbours (Å) after each atom.
Atoms (fractional coordinates):
Ba: 0.0000 0.0000 0.0000  6 Rh 2.56
Rh: 0.0000 0.0000 0.5000  2 Ba 2.56
Rh: 0.0000 0.5000 0.0000  2 Ba 2.56
Rh: 0.5000 0.0000 0.0000  2 Ba 2.56
Pb: 0.5000 0.5000 0.5000  12 Rh 3.62

A relaxed CsAg6Te4 crystal, computed with PBE-GGA.

The calculation puts the density of states at the Fermi level at 5.43 states/eV/cell. The space group is No. 187. Its calculated density is 7.353 g/cm³. The value obtained for the formation energy without anion corrections is -1.3 eV/f.u.

Lattice parameters (Å, degrees): 8.4906 8.4906 4.6683 90.00 90.00 120.00
With the nearest neighbours (Å) after each atom.
Atoms (fractional coordinates):
Cs: 0.0000 0.0000 0.0000  6 Te 3.62, 6 Ag 3.81
Ag: 0.2044 0.4088 0.5000  4 Te 2.90-3.01
Ag: 0.2044 0.7956 0.5000  4 Te 2.90-3.01
Ag: 0.5460 0.0920 0.0000  5 Te 3.06-3.13, 2 Ag 3.07
Ag: 0.5460 0.4540 0.0000  5 Te 3.06-3.13, 2 Ag 3.07
Ag: 0.5912 0.7956 0.5000  4 Te 2.90-3.01
Ag: 0.9080 0.4540 0.0000  5 Te 3.06-3.13, 2 Ag 3.07
Te: 0.3333 0.6667 0.0000  9 Ag 3.01-3.13
Te: 0.3770 0.1885 0.5000  6 Ag 2.90-3.06
Te: 0.8115 0.1885 0.5000  6 Ag 2.90-3.06
Te: 0.8115 0.6230 0.5000  6 Ag 2.90-3.06

A relaxed TaCoAg4 crystal, computed with PBE-GGA.

The calculation puts the density of states at the Fermi level at 4.67 states/eV/cell. The calculated formation energy comes out at 0.688 eV/atom. The space group is No. 216. Its calculated density is 10.633 g/cm³.

Lattice parameters (Å, degrees): 5.2928 5.2928 5.2928 60.00 60.00 60.00
With the nearest neighbours (Å) after each atom.
Atoms (fractional coordinates):
Ta: 0.0000 0.0000 0.0000  12 Ag 3.10, 4 Co 3.24
Co: 0.7500 0.7500 0.7500  12 Ag 3.10, 4 Ta 3.24
Ag: 0.3751 0.3751 0.3751  6 Ag 2.64-2.65
Ag: 0.3751 0.3751 0.8746  6 Ag 2.64-2.65
Ag: 0.3751 0.8746 0.3751  6 Ag 2.64-2.65
Ag: 0.8746 0.3751 0.3751  6 Ag 2.64-2.65